Record 1
Material: DyMg2Tl2Cd2
Method: DFT, GGA-PBE
State: optimized geometry

Energy relative to the elements: -0.117 eV per atom

Geometry as POSCAR:
```
DyMg2Tl2Cd2
1.0
5.002 0.000 0.000
-2.501 4.150 -0.421
0.000 -2.210 8.421
Cd Tl Mg Dy
2 2 2 1
Direct
0.440 0.881 0.309 Cd
0.560 0.119 0.691 Cd
0.271 0.541 0.819 Tl
0.729 0.459 0.181 Tl
0.858 0.716 0.582 Mg
0.142 0.284 0.418 Mg
0.000 0.000 0.000 Dy
```

---

Record 2
Material: LiTa2HgAs
Method: DFT, GGA-PBE
State: optimized geometry

Energy relative to the elements: 1.434 eV per atom

Geometry as POSCAR:
```
LiTa2HgAs
1.0
-4.233 1.122 -2.661
2.217 -0.309 -3.657
-1.148 -4.986 -0.276
As Ta Hg Li
1 2 1 1
Direct
0.500 0.500 0.500 As
0.000 0.000 0.500 Ta
0.500 0.000 0.000 Ta
0.000 0.000 0.000 Hg
0.000 0.500 0.000 Li
```

---

Record 3
Material: TiMn2Rh
Method: DFT, GGA-PBE
State: optimized geometry

Energy relative to the elements: -0.158 eV per atom

Geometry as POSCAR:
```
TiMn2Rh
1.0
-1.117 -3.806 -1.599
-3.561 -1.933 1.369
-3.389 -0.321 -2.588
Ti Mn Rh
1 2 1
Direct
0.000 0.000 0.000 Ti
0.250 0.250 0.250 Mn
0.750 0.750 0.750 Mn
0.500 0.500 0.500 Rh
```

---

Record 4
Material: OsRu2WI
Method: DFT, GGA-PBE
State: optimized geometry

E: -6.127 eV/atom

Geometry as POSCAR:
```
OsRu2WI
1.0
4.665 0.000 0.000
0.000 4.860 0.000
0.000 0.000 4.665
Ru W I Os
2 1 1 1
Direct
0.500 0.000 0.000 Ru
0.000 0.000 0.500 Ru
0.000 0.500 0.000 W
0.000 0.000 0.000 I
0.500 0.500 0.500 Os
```

---

Record 5
Material: TlTcPt2
Method: DFT, GGA-PBE
State: optimized geometry

Energy relative to the elements: 0.330 eV per atom
ΔE to the lowest computed polymorph: 23.3 kJ/mol of atoms

Geometry as POSCAR:
```
TlTcPt2
1.0
0.000 3.275 3.275
3.275 0.000 3.275
3.275 3.275 0.000
Tl Pt Tc
1 2 1
Direct
0.500 0.500 0.500 Tl
0.750 0.750 0.750 Pt
0.250 0.250 0.250 Pt
0.000 0.000 0.000 Tc
```

---

Record 6
Material: SrMn2Si
Method: DFT, GGA-PBE
State: optimized geometry

E: -6.471 eV/atom

Geometry as POSCAR:
```
SrMn2Si
1.0
-0.994 3.449 -1.951
-2.300 -0.151 -3.373
-5.732 1.540 1.365
Mn Sr Si
2 1 1
Direct
0.060 0.060 0.821 Mn
0.750 0.750 0.751 Mn
0.250 0.250 0.250 Sr
0.441 0.440 0.679 Si
```

---

Record 7
Material: Dy2CrHg
Method: DFT, GGA-PBE
State: optimized geometry

Energy relative to the elements: -0.059 eV per atom

Geometry as POSCAR:
```
Dy2CrHg
1.0
-2.681 -1.812 -1.525
-0.860 -1.400 3.177
-4.666 5.811 1.298
Dy Cr Hg
2 1 1
Direct
0.000 0.000 0.769 Dy
0.000 0.000 0.231 Dy
0.500 0.500 0.000 Cr
0.500 0.500 0.500 Hg
```

---

Record 8
Material: LaRe2Pt2
Method: DFT, GGA-PBE
State: optimized geometry

Energy relative to the elements: -0.099 eV per atom
ΔE to the lowest computed polymorph: 0.0 kJ/mol of atoms

Geometry as POSCAR:
```
LaRe2Pt2
1.0
-3.610 0.749 2.487
-2.579 -0.530 -3.584
-3.452 -4.950 0.456
Re Pt La
2 2 1
Direct
0.611 0.611 0.777 Re
0.389 0.389 0.223 Re
0.250 0.750 0.500 Pt
0.750 0.250 0.500 Pt
0.000 0.000 0.000 La
```

---

Record 9
Material: ScIOF2
Method: DFT, GGA-PBE
State: optimized geometry

ΔE to the lowest computed polymorph: 162.2 kJ/mol of atoms

Geometry as POSCAR:
```
ScIOF2
1.0
-4.658 -0.874 -1.820
1.928 -0.573 -4.661
0.472 -3.926 0.678
I F Sc O
1 2 1 1
Direct
0.000 0.000 0.000 I
0.000 0.500 0.000 F
0.500 0.000 0.000 F
0.500 0.500 0.500 Sc
0.000 0.000 0.500 O
```

---

Record 10
Material: CdAg8Se6
Method: DFT, GGA-PBE
State: optimized geometry

E: -3.025 eV/atom

Geometry as POSCAR:
```
CdAg8Se6
1.0
6.691 0.000 3.338
2.513 6.201 3.338
-0.026 -0.018 8.427
Se Ag Cd
6 8 1
Direct
0.752 0.047 0.791 Se
0.590 0.248 0.209 Se
0.047 0.410 0.791 Se
0.410 0.752 0.791 Se
0.953 0.590 0.209 Se
0.248 0.953 0.209 Se
0.633 0.822 0.428 Ag
0.822 0.118 0.428 Ag
0.415 0.415 0.756 Ag
0.882 0.367 0.572 Ag
0.118 0.633 0.428 Ag
0.178 0.882 0.572 Ag
0.585 0.585 0.244 Ag
0.367 0.178 0.572 Ag
0.000 0.000 0.000 Cd
```

---

Record 11
Material: LiInGaAu
Method: DFT, GGA-PBE
State: optimized geometry

Energy relative to the elements: -0.257 eV per atom

Geometry as POSCAR:
```
LiInGaAu
1.0
4.701 0.000 0.000
2.351 4.071 0.000
2.351 1.357 3.839
Li Au In Ga
1 1 1 1
Direct
0.000 0.000 0.000 Li
0.500 0.500 0.500 Au
0.750 0.750 0.750 In
0.250 0.250 0.250 Ga
```

---

Record 12
Material: NaSbI2Br
Method: DFT, GGA-PBE
State: optimized geometry

ΔE to the lowest computed polymorph: 0.0 kJ/mol of atoms

Geometry as POSCAR:
```
NaSbI2Br
1.0
-2.839 6.041 0.148
-5.681 -2.612 -2.342
-1.690 -0.920 5.126
Na Sb Br I
1 1 1 2
Direct
0.500 0.500 0.500 Na
0.000 0.000 0.500 Sb
0.000 0.000 0.000 Br
0.500 0.000 0.000 I
0.000 0.500 0.000 I
```

---

Record 13
Material: NbAsS2N
Method: DFT, GGA-PBE
State: optimized geometry

ΔE to the lowest computed polymorph: 54.9 kJ/mol of atoms

Geometry as POSCAR:
```
NbAsS2N
1.0
4.792 0.000 0.000
0.000 4.792 0.000
0.000 0.000 3.609
N Nb S As
1 1 2 1
Direct
0.000 0.000 0.500 N
0.500 0.500 0.500 Nb
0.000 0.500 0.000 S
0.500 0.000 0.000 S
0.000 0.000 0.000 As
```